(1)
# Ce6Ge2PS3 (GGA-PBE, optimized geometry)
data_Ce6Ge2PS3
_symmetry_space_group_name_H-M 'C 1 2/m 1'
_symmetry_Int_Tables_number 12
_cell_length_a 17.892
_cell_length_b 4.124
_cell_length_c 8.205
_cell_angle_alpha 90.00
_cell_angle_beta 102.78
_cell_angle_gamma 90.00
loop_
_symmetry_equiv_pos_as_xyz
'x,y,z'
'-x,-y,-z'
'-x,y,-z'
'x,-y,z'
'x+1/2,y+1/2,z'
'-x+1/2,-y+1/2,-z'
'-x+1/2,y+1/2,-z'
'x+1/2,-y+1/2,z'
loop_
_atom_site_label
_atom_site_type_symbol
_atom_site_fract_x
_atom_site_fract_y
_atom_site_fract_z
_atom_site_occupancy
Ce1 Ce 0.002 0.000 0.253 1
Ce2 Ce 0.164 0.500 0.089 1
Ce3 Ce 0.166 0.500 0.577 1
Ge1 Ge 0.166 0.000 0.834 1
P1 P 0.000 0.500 0.500 1
S1 S 0.000 0.500 0.000 1
S2 S 0.167 0.000 0.334 1
# V, Å³ per cell: 590.4
# Crystal system: monoclinic
# Total DFT energy (no corrections), eV/cell: -161.4

=====

(2)
# Ce4GeP2S (GGA-PBE, optimized geometry)
data_Ce4GeP2S
_symmetry_space_group_name_H-M 'P 1 2/m 1'
_symmetry_Int_Tables_number 10
_cell_length_a 7.119
_cell_length_b 4.118
_cell_length_c 7.140
_cell_angle_alpha 90.00
_cell_angle_beta 109.46
_cell_angle_gamma 90.00
loop_
_symmetry_equiv_pos_as_xyz
'x,y,z'
'-x,-y,-z'
'-x,y,-z'
'x,-y,z'
loop_
_atom_site_label
_atom_site_type_symbol
_atom_site_fract_x
_atom_site_fract_y
_atom_site_fract_z
_atom_site_occupancy
Ce1 Ce 0.244 0.000 0.243 1
Ce2 Ce 0.249 0.500 0.755 1
Ge1 Ge 0.500 0.500 0.500 1
P1 P 0.000 0.500 0.000 1
P2 P 0.500 0.000 0.000 1
S1 S 0.000 0.000 0.500 1
# V, Å³ per cell: 197.3
# Crystal system: monoclinic
# Total DFT energy (no corrections), eV/cell: -54.8